[1]
BaSi2Tc | meta-GGA SCAN | single point on PBEsol structure

Crystal system: orthorhombic
Uncorrected formation energy: 301 meV/atom
Energy above the most stable polymorph in this dataset: 220.5 meV per atom

Cell: 4.188 5.270 5.270 Å, 71.11 66.59 66.59°
Element x y z (fractional)
Ba  0.000  0.500  0.500
Si  0.159  0.841  0.841
Si  0.841  0.159  0.159
Tc  0.500  0.000  0.000

[2]
CuTc2W | meta-GGA SCAN | single point on PBEsol structure

Crystal system: tetragonal
ΔE_f: 0.67 eV per formula unit
Energy above the most stable polymorph in this dataset: 0.0 meV per atom

Cell: 3.786 3.785 4.686 Å, 113.82 113.83 90.00°
Element x y z (fractional)
Cu  0.250  0.750  0.500
Tc  0.000  0.000  0.000
Tc  0.750  0.250  0.500
W  0.500  0.500  0.000

[3]
MnCrIr | meta-GGA SCAN | single point on PBEsol structure

Crystal system: hexagonal
ΔE_f: -0.59 eV per formula unit

Cell: 2.592 3.986 3.986 Å, 120.00 90.00 90.00°
Element x y z (fractional)
Cr  0.500  0.000  0.000
Ir  0.000  0.333  0.667
Mn  0.500  0.667  0.333

Spin magnetization (μB/cell)
0.001; 0.000; 0.444
Calculated volume (Å³/cell)
96; 55; 36